(1)
# Sr4Mn3Cl2O8, PBEsol geometry, DFT SCAN
# * formation energy without anion corrections: -2714 meV per atom
data_Sr4Mn3Cl2O8
_cell_length_a 3.849
_cell_length_b 3.849
_cell_length_c 31.811
_cell_angle_alpha 90.00
_cell_angle_beta 90.00
_cell_angle_gamma 90.00
_space_group_name_H-M_alt 'I 4/m m m'
_space_group_IT_number 139
_space_group_name_Hall '-I 4 2'
loop_
_atom_site_label
_atom_site_type_symbol
_atom_site_fract_x
_atom_site_fract_y
_atom_site_fract_z
_atom_site_occupancy
Sr1 Sr 0.000 0.000 0.058 1
Sr2 Sr 0.000 0.000 0.179 1
Mn1 Mn 0.000 0.000 0.380 1
Mn2 Mn 0.000 0.000 0.500 1
Cl1 Cl 0.000 0.000 0.284 1
O1 O 0.000 0.000 0.439 1
O2 O 0.000 0.500 0.000 1
O3 O 0.000 0.500 0.128 1

(2)
# TiTe2AuI, PBEsol geometry, DFT SCAN
# * formation energy without anion corrections: 453 meV per atom
data_TiTe2AuI
_cell_length_a 5.366
_cell_length_b 5.366
_cell_length_c 5.370
_cell_angle_alpha 90.00
_cell_angle_beta 90.00
_cell_angle_gamma 90.00
_space_group_name_H-M_alt 'P 4/m m m'
_space_group_IT_number 123
_space_group_name_Hall '-P 4 2'
loop_
_atom_site_label
_atom_site_type_symbol
_atom_site_fract_x
_atom_site_fract_y
_atom_site_fract_z
_atom_site_occupancy
Ti1 Ti 0.000 0.000 0.000 1
Te1 Te 0.000 0.500 0.500 1
Au1 Au 0.500 0.500 0.500 1
I1 I 0.500 0.500 0.000 1

(3)
# SnAs2RuSe, PBEsol geometry, DFT SCAN
# * energy above the most stable polymorph in this dataset: 0 meV/atom
# * formation energy without anion corrections: 341 meV per atom
data_SnAs2RuSe
_cell_length_a 4.605
_cell_length_b 4.605
_cell_length_c 5.369
_cell_angle_alpha 90.00
_cell_angle_beta 90.00
_cell_angle_gamma 90.00
_space_group_name_H-M_alt 'P 4/m m m'
_space_group_IT_number 123
_space_group_name_Hall '-P 4 2'
loop_
_atom_site_label
_atom_site_type_symbol
_atom_site_fract_x
_atom_site_fract_y
_atom_site_fract_z
_atom_site_occupancy
Sn1 Sn 0.000 0.000 0.000 1
As1 As 0.000 0.500 0.500 1
Ru1 Ru 0.500 0.500 0.500 1
Se1 Se 0.500 0.500 0.000 1

(4)
# BePt2Rh, PBEsol geometry, DFT SCAN
# * formation energy from the elements: -0.337 eV per atom
data_BePt2Rh
_cell_length_a 2.762
_cell_length_b 4.320
_cell_length_c 8.695
_cell_angle_alpha 90.00
_cell_angle_beta 90.00
_cell_angle_gamma 90.00
_space_group_name_H-M_alt 'I m m m'
_space_group_IT_number 71
_space_group_name_Hall '-I 2 2'
loop_
_atom_site_label
_atom_site_type_symbol
_atom_site_fract_x
_atom_site_fract_y
_atom_site_fract_z
_atom_site_occupancy
Be1 Be 0.000 0.000 0.000 1
Pt1 Pt 0.000 0.500 0.291 1
Rh1 Rh 0.000 0.000 0.500 1

(5)
# La4Nd4S4O7, PBEsol geometry, DFT SCAN
# * formation energy without anion corrections: -3282 meV per atom
data_La4Nd4S4O7
_cell_length_a 13.614
_cell_length_b 7.949
_cell_length_c 9.686
_cell_angle_alpha 90.00
_cell_angle_beta 134.65
_cell_angle_gamma 90.00
_space_group_name_H-M_alt 'C 1 m 1'
_space_group_IT_number 8
_space_group_name_Hall 'C -2y'
loop_
_atom_site_label
_atom_site_type_symbol
_atom_site_fract_x
_atom_site_fract_y
_atom_site_fract_z
_atom_site_occupancy
La1 La 0.000 0.000 0.000 1
La2 La 0.005 0.500 0.012 1
La3 La 0.246 0.260 0.493 1
Nd1 Nd 0.105 0.000 0.666 1
Nd2 Nd 0.113 0.500 0.667 1
Nd3 Nd 0.363 0.251 0.166 1
S1 S 0.056 0.254 0.833 1
S2 S 0.310 0.000 0.336 1
S3 S 0.310 0.500 0.330 1
O1 O 0.035 0.247 0.166 1
O2 O 0.079 0.246 0.504 1
O3 O 0.287 0.500 0.670 1
O4 O 0.322 0.500 0.998 1
O5 O 0.323 0.000 0.992 1

(6)
# Zr4TlAu, PBEsol geometry, DFT SCAN
# * formation energy from the elements: 0.186 eV per atom
data_Zr4TlAu
_cell_length_a 7.948
_cell_length_b 7.948
_cell_length_c 7.948
_cell_angle_alpha 90.00
_cell_angle_beta 90.00
_cell_angle_gamma 90.00
_space_group_name_H-M_alt 'F -4 3 m'
_space_group_IT_number 216
_space_group_name_Hall 'F -4 2 3'
loop_
_atom_site_label
_atom_site_type_symbol
_atom_site_fract_x
_atom_site_fract_y
_atom_site_fract_z
_atom_site_occupancy
Zr1 Zr 0.125 0.125 0.125 1
Tl1 Tl 0.250 0.250 0.750 1
Au1 Au 0.000 0.000 0.500 1